Computed, not measured: a geometry-optimized CuAgOs2 structure at the PBE level of DFT.

a = 6.171 Å, b = 6.171 Å, c = 6.171 Å
α = 90.00°, β = 90.00°, γ = 90.00°
Space group F-43m (No. 216)
Asymmetric unit:
Cu (0.000, 0.000, 0.000) (multiplicity 4)
Ag (0.250, 0.250, 0.750) (multiplicity 4)
Os (0.000, 0.000, 0.500) (multiplicity 4)
Os (0.250, 0.250, 0.250) (multiplicity 4)

Summary:
The calculated density comes out at 15.600 g/cm3. Its magnetic moment is 0.0 μB/cell. The volume is 235.0 Å³/cell. Its formation energy is 0.68 eV/atom. As for the final energy: -6.56 eV/atom.

=====

Computed, not measured: a geometry-optimized Ga2Pd structure at the PBE level of DFT.

a = 7.323 Å, b = 7.323 Å, c = 7.323 Å
α = 90.00°, β = 90.00°, γ = 90.00°
Space group Fd-3m (No. 227, origin choice 2)
Asymmetric unit:
Ga (0.000, 0.000, 0.000) (multiplicity 16)
Pd (0.125, 0.125, 0.625) (multiplicity 8)

Summary:
The calculated density comes out at 8.317 g/cm3. The volume is 392.7 Å³/cell. As for the final energy: -3.76 eV/atom.

=====

Computed, not measured: a geometry-optimized Hf2CuSi4 structure at the PBE level of DFT.

a = 3.679 Å, b = 32.608 Å, c = 3.663 Å
α = 90.00°, β = 90.00°, γ = 90.00°
Space group Cmcm (No. 63)
Asymmetric unit:
Hf (0.000, 0.047, 0.250) (multiplicity 4)
Hf (0.000, 0.324, 0.250) (multiplicity 4)
Cu (0.000, 0.250, 0.750) (multiplicity 4)
Si (0.000, 0.112, 0.750) (multiplicity 4)
Si (0.000, 0.202, 0.250) (multiplicity 4)
Si (0.000, 0.388, 0.750) (multiplicity 4)
Si (0.000, 0.476, 0.250) (multiplicity 4)

Summary:
The calculated density comes out at 8.056 g/cm3. Its magnetic moment is 0.0 μB/cell. The volume is 439.3 Å³/cell. As for the final energy: -7.00 eV/atom.